Entry 1:
A plane-wave DFT calculation with PBE-GGA was carried out for HfCdHgAu after structural relaxation. Values from VASP.

Results
- formation energy (eV/atom) = -0.160
- final energy (eV per atom) = -3.772

```
&SYSTEM
  ibrav = 0, nat = 4, ntyp = 4
/
ATOMIC_SPECIES
Hf 178.49 Hf.upf
Cd 112.41 Cd.upf
Hg 200.59 Hg.upf
Au 196.97 Au.upf
CELL_PARAMETERS angstrom
0.0000 3.4269 3.4269
3.4269 0.0000 3.4269
3.4269 3.4269 0.0000
ATOMIC_POSITIONS angstrom
Hf 0.0000 0.0000 0.0000
Cd 3.4269 3.4269 3.4269
Hg 5.1403 5.1403 5.1403
Au 1.7134 1.7134 1.7134
```



Entry 2:
A plane-wave DFT calculation with PBE-GGA was carried out for LiHf2CdAu after structural relaxation. Values from VASP.

Results
- formation energy (eV/atom) = 0.445
- final energy (eV per atom) = -4.758

```
&SYSTEM
  ibrav = 0, nat = 5, ntyp = 4
/
ATOMIC_SPECIES
Li 6.94 Li.upf
Hf 178.49 Hf.upf
Cd 112.41 Cd.upf
Au 196.97 Au.upf
CELL_PARAMETERS angstrom
5.1829 0.0000 0.0000
0.0000 5.1829 0.0000
0.0000 0.0000 4.5628
ATOMIC_POSITIONS angstrom
Li 0.0000 0.0000 0.0000
Hf 0.0000 2.5915 2.2814
Hf 2.5915 0.0000 2.2814
Cd 2.5915 2.5915 0.0000
Au 0.0000 0.0000 2.2814
```



Entry 3:
A plane-wave DFT calculation with PBE-GGA was carried out for HfCdPdAu after structural relaxation. Values from VASP.

Results
- formation energy (eV/atom) = -0.478
- final energy (eV per atom) = -5.313

```
&SYSTEM
  ibrav = 0, nat = 4, ntyp = 4
/
ATOMIC_SPECIES
Hf 178.49 Hf.upf
Cd 112.41 Cd.upf
Pd 106.42 Pd.upf
Au 196.97 Au.upf
CELL_PARAMETERS angstrom
0.0000 3.3285 3.3285
3.3285 0.0000 3.3285
3.3285 3.3285 0.0000
ATOMIC_POSITIONS angstrom
Hf 0.0000 0.0000 0.0000
Cd 3.3285 3.3285 3.3285
Pd 4.9928 4.9928 4.9928
Au 1.6643 1.6643 1.6643
```



Entry 4:
A plane-wave DFT calculation with PBE-GGA was carried out for HfCdPd2Au after structural relaxation. Values from VASP.

Results
- formation energy (eV/atom) = 0.841
- final energy (eV per atom) = -4.066

```
&SYSTEM
  ibrav = 0, nat = 5, ntyp = 4
/
ATOMIC_SPECIES
Hf 178.49 Hf.upf
Cd 112.41 Cd.upf
Pd 106.42 Pd.upf
Au 196.97 Au.upf
CELL_PARAMETERS angstrom
4.9797 0.0000 0.0000
0.0000 4.9797 0.0000
0.0000 0.0000 4.8940
ATOMIC_POSITIONS angstrom
Hf 0.0000 0.0000 0.0000
Cd 2.4898 2.4898 0.0000
Pd 0.0000 2.4898 2.4470
Pd 2.4898 0.0000 2.4470
Au 2.4898 2.4898 2.4470
```



Entry 5:
A plane-wave DFT calculation with PBE-GGA was carried out for Hf2CdAuS after structural relaxation. Values from VASP.

Results
- formation energy without anion corrections (eV/f.u.) = 3.95
- final energy (eV per atom) = -4.855

```
&SYSTEM
  ibrav = 0, nat = 5, ntyp = 4
/
ATOMIC_SPECIES
Hf 178.49 Hf.upf
Cd 112.41 Cd.upf
Au 196.97 Au.upf
S 32.06 S.upf
CELL_PARAMETERS angstrom
5.1694 0.0000 0.0000
0.0000 5.1694 0.0000
0.0000 0.0000 4.9368
ATOMIC_POSITIONS angstrom
Hf 0.0000 2.5847 0.0000
Hf 2.5847 0.0000 0.0000
Cd 0.0000 0.0000 2.4684
Au 2.5847 2.5847 0.0000
S 2.5847 2.5847 2.4684
```



Entry 6:
A plane-wave DFT calculation with PBE-GGA was carried out for HfTlCd2Au after structural relaxation. Values from VASP.

Results
- formation energy (eV/atom) = 1.039
- final energy (eV per atom) = -2.446

```
&SYSTEM
  ibrav = 0, nat = 5, ntyp = 4
/
ATOMIC_SPECIES
Hf 178.49 Hf.upf
Tl 204.38 Tl.upf
Cd 112.41 Cd.upf
Au 196.97 Au.upf
CELL_PARAMETERS angstrom
5.3247 0.0000 0.0000
0.0000 5.3247 0.0000
0.0000 0.0000 5.1453
ATOMIC_POSITIONS angstrom
Hf 0.0000 0.0000 0.0000
Tl 2.6623 2.6623 2.5727
Cd 0.0000 2.6623 2.5727
Cd 2.6623 0.0000 2.5727
Au 2.6623 2.6623 0.0000
```



Entry 7:
A plane-wave DFT calculation with PBE-GGA was carried out for HfZrCdAu after structural relaxation. Values from VASP.

Results
- formation energy (eV/atom) = -0.302
- final energy (eV per atom) = -5.975

```
&SYSTEM
  ibrav = 0, nat = 4, ntyp = 4
/
ATOMIC_SPECIES
Hf 178.49 Hf.upf
Zr 91.22 Zr.upf
Cd 112.41 Cd.upf
Au 196.97 Au.upf
CELL_PARAMETERS angstrom
3.4832 0.0000 0.0000
0.0000 3.4832 0.0000
0.0000 0.0000 6.8580
ATOMIC_POSITIONS angstrom
Hf 0.0000 0.0000 0.0000
Zr 1.7416 1.7416 4.9610
Cd 0.0000 0.0000 3.1634
Au 1.7416 1.7416 1.5311
```



Entry 8:
A plane-wave DFT calculation with PBE-GGA was carried out for HfZr2CdAu after structural relaxation. Values from VASP.

Results
- formation energy (eV/atom) = 1.176
- final energy (eV per atom) = -5.073

```
&SYSTEM
  ibrav = 0, nat = 5, ntyp = 4
/
ATOMIC_SPECIES
Hf 178.49 Hf.upf
Zr 91.22 Zr.upf
Cd 112.41 Cd.upf
Au 196.97 Au.upf
CELL_PARAMETERS angstrom
5.1782 0.0000 0.0000
0.0000 5.1782 0.0000
0.0000 0.0000 5.1249
ATOMIC_POSITIONS angstrom
Hf 0.0000 0.0000 0.0000
Zr 0.0000 2.5891 2.5625
Zr 2.5891 0.0000 2.5625
Cd 0.0000 0.0000 2.5625
Au 2.5891 2.5891 0.0000
```